[1]
A geometry-optimized Cs3CuRe structure. Source: Alexandria via LeMat-Bulk, functional GGA-PBE.

Geometry as POSCAR:
```
Cs3CuRe
1.0
6.739 0.000 0.000
0.000 6.739 0.000
0.000 0.000 6.739
Cs Re Cu
3 1 1
Direct
0.000 0.500 0.000
0.000 0.000 0.500
0.500 0.000 0.000
0.500 0.500 0.500
0.000 0.000 0.000
```

Calculated values
* final energy: -2.30 eV per atom
* distance to the lowest polymorph of the same formula: 0 meV/atom
* spin magnetization: 4.97 Bohr magnetons per cell

[2]
A geometry-optimized Tl3CdIn3 structure. Source: Alexandria via LeMat-Bulk, functional GGA-PBE.

Geometry as POSCAR:
```
Tl3CdIn3
1.0
-8.284 1.098 0.909
-1.329 -7.885 -2.591
0.514 -2.698 7.944
Tl Cd In
6 2 6
Direct
0.250 0.000 0.500
0.000 0.500 0.250
0.500 0.750 0.000
0.750 0.000 0.500
0.000 0.500 0.750
0.500 0.250 0.000
0.500 0.500 0.500
0.000 0.000 0.000
0.000 0.250 0.500
0.000 0.750 0.500
0.500 0.000 0.750
0.750 0.500 0.000
0.500 0.000 0.250
0.250 0.500 0.000
```

Calculated values
* final energy: -1.92 eV per atom
* distance to the lowest polymorph of the same formula: 328 meV/atom
* spin magnetization: 0.00 Bohr magnetons per cell

[3]
A geometry-optimized Ca2PdSe structure. Source: Alexandria via LeMat-Bulk, functional GGA-PBE.

Geometry as POSCAR:
```
Ca2PdSe
1.0
-0.466 3.063 2.771
-1.421 -0.846 3.814
5.928 -0.270 4.414
Ca Se Pd
2 1 1
Direct
0.251 0.251 0.248
0.749 0.749 0.752
0.000 0.000 0.000
0.500 0.500 0.500
```

Calculated values
* final energy: -4.37 eV per atom
* distance to the lowest polymorph of the same formula: 0 meV/atom
* formation energy (no corrections): -462 kJ/mol of formula units
* spin magnetization: 0.00 Bohr magnetons per cell

[4]
A geometry-optimized CsNpCd2Cl8 structure. Source: Alexandria via LeMat-Bulk, functional GGA-PBE.

Geometry as POSCAR:
```
CsNpCd2Cl8
1.0
6.773 0.000 0.000
-3.387 5.866 0.000
0.000 0.000 10.362
Cs Np Cd Cl
1 1 2 8
Direct
0.000 0.000 0.000
0.000 0.000 0.500
0.667 0.333 0.247
0.333 0.667 0.753
0.333 0.667 0.986
0.312 0.324 0.336
0.676 0.988 0.336
0.667 0.333 0.014
0.324 0.012 0.664
0.688 0.676 0.664
0.988 0.312 0.664
0.012 0.688 0.336
```

Calculated values
* final energy: -3.95 eV per atom
* formation energy (no corrections): -1646 kJ/mol of formula units
* spin magnetization: 4.00 Bohr magnetons per cell

[5]
A geometry-optimized KZr2Re structure. Source: Alexandria via LeMat-Bulk, functional GGA-PBE.

Geometry as POSCAR:
```
KZr2Re
1.0
-3.652 2.992 -1.633
-3.596 -1.827 -2.948
-4.644 -0.535 1.763
K Re Zr
1 1 2
Direct
0.500 0.500 0.500
0.750 0.750 0.750
0.000 0.000 0.000
0.250 0.250 0.250
```

Calculated values
* final energy: -6.43 eV per atom
* distance to the lowest polymorph of the same formula: 1036 meV/atom
* spin magnetization: 0.78 Bohr magnetons per cell

[6]
A geometry-optimized Tb5Er8Sc structure. Source: Alexandria via LeMat-Bulk, functional GGA-PBE.

Geometry as POSCAR:
```
Tb5Er8Sc
1.0
8.322 -0.072 0.124
-2.884 7.807 -0.124
-2.555 -3.983 6.847
Tb Er Sc
5 8 1
Direct
0.029 0.319 0.132
0.868 0.897 0.187
0.813 0.681 0.710
0.500 0.000 0.500
0.290 0.103 0.971
0.165 0.732 0.072
0.928 0.093 0.660
0.735 0.256 0.340
0.660 0.395 0.917
0.522 0.605 0.265
0.567 0.907 0.835
0.340 0.268 0.433
0.083 0.744 0.478
0.250 0.500 0.750
```

Calculated values
* final energy: -4.45 eV per atom
* spin magnetization: 0.00 Bohr magnetons per cell

Question: What is the formula in the third record?
Answer: Ca2PdSe